## AlRhNF2 (PBE-GGA)

Data for a geometry-optimized AlRhNF2 structure.

Values from the calculation:
As for the polymorph energy (0 for the lowest one): 0.620 eV per atom. The formation energy from raw total energies comes out at -0.382 eV/atom. The density of states at the Fermi level comes out at 2.43 states/eV/f.u.

a = 4.456 Å, b = 4.456 Å, c = 3.674 Å
α = 90.00°, β = 90.00°, γ = 90.00°
Element x y z (fractional)
F  0.000  0.500  0.000
F  0.500  0.000  0.000
Al  0.500  0.500  0.500
N  0.000  0.000  0.500
Rh  0.000  0.000  0.000

***

## CaPu2Pt3 (PBE-GGA)

Data for a geometry-optimized CaPu2Pt3 structure.

Values from the calculation:
As for the polymorph energy (0 for the lowest one): 0.000 eV per atom. The calculation puts the energy of formation from the pure elements at -76 kJ per mole of atoms. The density of states at the Fermi level comes out at 21.37 states/eV/f.u.

a = 3.475 Å, b = 3.475 Å, c = 10.783 Å
α = 90.00°, β = 90.00°, γ = 90.00°
Site moments in Bohr magnetons follow the coordinates.
Element x y z (fractional)
Pt  0.000  0.000  0.675  -0.03
Pt  0.000  0.000  0.325  -0.03
Pt  0.000  0.000  0.000  -0.07
Pu  0.500  0.500  0.166  5.17
Pu  0.500  0.500  0.834  5.17
Ca  0.500  0.500  0.500  0.02

***

## PtRh2Pb4 (PBE-GGA)

Data for a geometry-optimized PtRh2Pb4 structure.

Values from the calculation:
The calculation puts the energy of formation from the pure elements at -7 kJ per mole of atoms. The density of states at the Fermi level comes out at 3.78 states/eV/f.u.

a = 3.815 Å, b = 6.822 Å, c = 7.229 Å
α = 116.31°, β = 105.30°, γ = 90.00°
Element x y z (fractional)
Rh  0.754  0.706  0.508
Rh  0.246  0.294  0.492
Pb  0.360  0.041  0.721
Pb  0.104  0.469  0.208
Pb  0.640  0.959  0.279
Pb  0.896  0.531  0.792
Pt  0.000  0.000  0.000

***

## Rb3Pm2InSe6 (PBE-GGA)

Data for a geometry-optimized Rb3Pm2InSe6 structure.

Values from the calculation:
The formation energy from raw total energies comes out at -1.405 eV/atom.

a = 7.430 Å, b = 7.430 Å, c = 8.412 Å
α = 98.48°, β = 98.48°, γ = 120.02°
Element x y z (fractional)
Se  0.256  0.256  0.802
Se  0.388  0.066  0.197
Se  0.744  0.744  0.198
Se  0.066  0.388  0.197
Se  0.934  0.612  0.803
Se  0.612  0.934  0.803
Pm  0.334  0.666  0.000
Pm  0.666  0.334  0.000
Rb  0.169  0.831  0.500
Rb  0.500  0.500  0.500
Rb  0.831  0.169  0.500
In  0.000  0.000  0.000

***

## Tb3ZnCo8 (PBE-GGA)

Data for a geometry-optimized Tb3ZnCo8 structure.

Values from the calculation:
The calculation puts the energy of formation from the pure elements at -15 kJ per mole of atoms. The density of states at the Fermi level comes out at 16.82 states/eV/f.u.

a = 4.991 Å, b = 4.991 Å, c = 8.676 Å
α = 73.28°, β = 73.28°, γ = 60.00°
Site moments in Bohr magnetons follow the coordinates.
Element x y z (fractional)
Co  0.189  0.189  0.434  1.30
Co  0.437  0.934  0.192  1.21
Co  0.938  0.938  0.680  1.25
Co  0.443  0.938  0.680  1.25
Co  0.688  0.688  0.937  1.15
Co  0.934  0.437  0.192  1.21
Co  0.437  0.437  0.192  1.21
Co  0.938  0.443  0.680  1.25
Zn  0.872  0.872  0.383  -0.04
Tb  0.504  0.504  0.487  -0.33
Tb  0.376  0.376  0.872  -0.38
Tb  0.994  0.994  0.019  -0.34

***

## Dy5Th4Sc2 (PBE-GGA)

Data for a geometry-optimized Dy5Th4Sc2 structure.

Values from the calculation:
As for the polymorph energy (0 for the lowest one): 0.253 eV per atom. The calculation puts the energy of formation from the pure elements at 28 kJ per mole of atoms. The density of states at the Fermi level comes out at 17.59 states/eV/f.u.

a = 3.442 Å, b = 11.168 Å, c = 11.045 Å
α = 120.37°, β = 98.97°, γ = 90.00°
Element x y z (fractional)
Dy  0.177  0.458  0.354
Dy  0.823  0.104  0.646
Dy  0.177  0.896  0.354
Dy  0.500  0.000  0.000
Dy  0.823  0.542  0.646
Th  0.000  0.731  0.000
Th  0.590  0.590  0.179
Th  0.000  0.269  0.000
Th  0.410  0.410  0.821
Sc  0.227  0.227  0.453
Sc  0.773  0.773  0.547

***

## KCaNb (PBE-GGA)

Data for a geometry-optimized KCaNb structure.

Values from the calculation:
As for the polymorph energy (0 for the lowest one): 0.255 eV per atom. The calculation puts the energy of formation from the pure elements at 52 kJ per mole of atoms. The density of states at the Fermi level comes out at 3.31 states/eV/f.u.

a = 3.824 Å, b = 5.197 Å, c = 24.706 Å
α = 90.00°, β = 90.00°, γ = 90.00°
Element x y z (fractional)
Ca  0.249  0.750  0.190
Ca  0.749  0.750  0.310
Ca  0.751  0.250  0.810
Ca  0.251  0.250  0.690
K  0.750  0.250  0.430
K  0.250  0.750  0.570
K  0.250  0.250  0.070
K  0.750  0.750  0.930
Nb  0.249  0.250  0.283
Nb  0.751  0.750  0.717
Nb  0.749  0.250  0.217
Nb  0.251  0.750  0.783

***

## AgPdPbAu (PBE-GGA)

Data for a geometry-optimized AgPdPbAu structure.

Values from the calculation:
The calculation puts the energy of formation from the pure elements at -5 kJ per mole of atoms. The density of states at the Fermi level comes out at 2.77 states/eV/f.u.

a = 4.804 Å, b = 4.804 Å, c = 4.804 Å
α = 60.00°, β = 60.00°, γ = 60.00°
Element x y z (fractional)
Pb  0.500  0.500  0.500
Ag  0.000  0.000  0.000
Pd  0.750  0.750  0.750
Au  0.250  0.250  0.250

***

## Cr3Ir4Rh3 (PBE-GGA)

Data for a geometry-optimized Cr3Ir4Rh3 structure.

Values from the calculation:
The calculation puts the energy of formation from the pure elements at 6 kJ per mole of atoms. The density of states at the Fermi level comes out at 13.64 states/eV/f.u.

a = 2.710 Å, b = 7.266 Å, c = 7.266 Å
α = 91.74°, β = 90.00°, γ = 90.00°
Element x y z (fractional)
Ir  0.000  0.380  0.620
Ir  0.000  0.861  0.877
Ir  0.000  0.630  0.370
Ir  0.000  0.123  0.139
Rh  0.500  0.169  0.831
Rh  0.000  0.507  0.004
Rh  0.000  0.996  0.493
Cr  0.500  0.336  0.330
Cr  0.500  0.828  0.172
Cr  0.500  0.670  0.664

***

## BaAsSe2F (PBE-GGA)

Data for a geometry-optimized BaAsSe2F structure.

Values from the calculation:
As for the polymorph energy (0 for the lowest one): 1.124 eV per atom. The formation energy from raw total energies comes out at 0.397 eV/atom. The density of states at the Fermi level comes out at 11.76 states/eV/f.u.

a = 6.420 Å, b = 6.420 Å, c = 6.565 Å
α = 90.00°, β = 90.00°, γ = 90.00°
Site moments in Bohr magnetons follow the coordinates.
Element x y z (fractional)
F  0.500  0.500  0.500  0.38
Se  0.000  0.500  0.000  0.79
Se  0.500  0.000  0.000  0.79
As  0.000  0.000  0.500  -0.93
Ba  0.000  0.000  0.000  -0.05

***

## RbCaI3 (PBE-GGA)

Data for a geometry-optimized RbCaI3 structure.

Values from the calculation:
The formation energy from raw total energies comes out at -1.577 eV/atom. The density of states at the Fermi level comes out at 0.00 states/eV/f.u.

a = 4.709 Å, b = 10.676 Å, c = 17.507 Å
α = 90.00°, β = 90.00°, γ = 90.00°
Element x y z (fractional)
I  0.750  0.213  0.286
I  0.750  0.334  0.010
I  0.250  0.787  0.714
I  0.750  0.713  0.214
I  0.750  0.980  0.896
I  0.250  0.166  0.510
I  0.250  0.020  0.104
I  0.750  0.480  0.604
I  0.250  0.666  0.990
I  0.250  0.520  0.396
I  0.250  0.287  0.786
I  0.750  0.834  0.490
Rb  0.250  0.938  0.322
Rb  0.750  0.562  0.822
Rb  0.250  0.438  0.178
Rb  0.750  0.062  0.678
Ca  0.750  0.333  0.445
Ca  0.250  0.167  0.945
Ca  0.250  0.667  0.555
Ca  0.750  0.833  0.055

***

## Y2ZrSb2 (PBE-GGA)

Data for a geometry-optimized Y2ZrSb2 structure.

Values from the calculation:
The formation energy from raw total energies comes out at -0.834 eV/atom. The density of states at the Fermi level comes out at 5.73 states/eV/f.u.

a = 7.892 Å, b = 7.892 Å, c = 4.227 Å
α = 90.00°, β = 90.00°, γ = 90.00°
Element x y z (fractional)
Sb  0.355  0.855  0.000
Sb  0.855  0.645  0.000
Sb  0.145  0.355  0.000
Sb  0.645  0.145  0.000
Y  0.161  0.661  0.500
Y  0.661  0.839  0.500
Y  0.839  0.339  0.500
Y  0.339  0.161  0.500
Zr  0.000  0.000  0.000
Zr  0.500  0.500  0.000

***

## HfTiGaPd (PBE-GGA)

Data for a geometry-optimized HfTiGaPd structure.

Values from the calculation:
The calculation puts the energy of formation from the pure elements at -42 kJ per mole of atoms. The density of states at the Fermi level comes out at 3.52 states/eV/f.u.

a = 4.624 Å, b = 4.624 Å, c = 4.624 Å
α = 60.00°, β = 60.00°, γ = 60.00°
Site moments in Bohr magnetons follow the coordinates.
Element x y z (fractional)
Pd  0.000  0.000  0.000  0.17
Hf  0.750  0.750  0.750  0.20
Ti  0.250  0.250  0.250  0.85
Ga  0.500  0.500  0.500  0.01

***

## Nd2Zn3CdPd4 (PBE-GGA)

Data for a geometry-optimized Nd2Zn3CdPd4 structure.

Values from the calculation:
The calculation puts the energy of formation from the pure elements at -55 kJ per mole of atoms. The density of states at the Fermi level comes out at 7.09 states/eV/f.u.

a = 4.216 Å, b = 4.216 Å, c = 11.213 Å
α = 90.00°, β = 90.00°, γ = 90.00°
Element x y z (fractional)
Pd  0.000  0.500  0.348
Pd  0.500  0.000  0.652
Pd  0.500  0.500  0.000
Pd  0.000  0.000  0.000
Cd  0.500  0.500  0.500
Zn  0.000  0.000  0.500
Zn  0.500  0.000  0.873
Zn  0.000  0.500  0.127
Nd  0.500  0.000  0.240
Nd  0.000  0.500  0.760

***

## Ce4Pd2Pt5 (PBE-GGA)

Data for a geometry-optimized Ce4Pd2Pt5 structure.

Values from the calculation:
The calculation puts the energy of formation from the pure elements at -56 kJ per mole of atoms. The density of states at the Fermi level comes out at 21.86 states/eV/f.u.

a = 5.265 Å, b = 7.868 Å, c = 8.015 Å
α = 83.69°, β = 70.83°, γ = 70.45°
Site moments in Bohr magnetons follow the coordinates.
Element x y z (fractional)
Ce  0.502  0.736  0.261  0.57
Ce  0.498  0.264  0.739  0.57
Ce  0.237  0.264  0.261  0.57
Ce  0.763  0.736  0.739  0.57
Pd  0.768  0.000  0.464  -0.01
Pd  0.232  0.000  0.536  -0.01
Pt  0.250  0.500  0.500  -0.03
Pt  0.000  0.500  0.000  -0.03
Pt  0.500  0.000  0.000  -0.02
Pt  0.750  0.500  0.500  -0.03
Pt  0.500  0.500  0.000  -0.03

***

## MgInH2F (PBE-GGA)

Data for a geometry-optimized MgInH2F structure.

Values from the calculation:
The calculation puts the total energy at -14.3 eV per cell. The density of states at the Fermi level comes out at 0.29 states/eV/f.u.

a = 4.850 Å, b = 3.545 Å, c = 4.850 Å
α = 90.00°, β = 90.00°, γ = 90.00°
Element x y z (fractional)
H  0.000  0.000  0.500
H  0.500  0.000  0.000
Mg  0.000  0.500  0.000
In  0.500  0.500  0.500
F  0.000  0.000  0.000

***

## PtPbSe3 (PBE-GGA)

Data for a geometry-optimized PtPbSe3 structure.

Values from the calculation:
As for the polymorph energy (0 for the lowest one): 0.000 eV per atom. The formation energy from raw total energies comes out at 0.065 eV/atom. The density of states at the Fermi level comes out at 4.80 states/eV/f.u.

a = 5.034 Å, b = 5.034 Å, c = 5.034 Å
α = 90.00°, β = 90.00°, γ = 90.00°
Element x y z (fractional)
Pb  0.500  0.500  0.500
Pt  0.000  0.000  0.000
Se  0.000  0.000  0.500
Se  0.000  0.500  0.000
Se  0.500  0.000  0.000

***

## RbAl2TeN (PBE-GGA)

Data for a geometry-optimized RbAl2TeN structure.

Values from the calculation:
The formation energy from raw total energies comes out at 1.708 eV/atom. The density of states at the Fermi level comes out at 2.37 states/eV/f.u.

a = 6.123 Å, b = 4.932 Å, c = 6.123 Å
α = 90.00°, β = 90.00°, γ = 90.00°
Site moments in Bohr magnetons follow the coordinates.
Element x y z (fractional)
Rb  0.000  0.000  0.000  0.04
Te  0.500  0.500  0.500  0.14
Al  0.500  0.000  0.000  -0.03
Al  0.000  0.000  0.500  -0.01
N  0.000  0.500  0.000  1.38

***

## Ba5As (PBE-GGA)

Data for a geometry-optimized Ba5As structure.

Values from the calculation:
As for the polymorph energy (0 for the lowest one): 0.000 eV per atom. The calculation puts the energy of formation from the pure elements at -34 kJ per mole of atoms. The density of states at the Fermi level comes out at 6.85 states/eV/f.u.

a = 7.962 Å, b = 7.962 Å, c = 10.781 Å
α = 65.64°, β = 65.64°, γ = 31.29°
Element x y z (fractional)
Ba  0.643  0.643  0.058
Ba  0.027  0.027  0.445
Ba  0.413  0.413  0.831
Ba  0.368  0.368  0.207
Ba  0.687  0.687  0.682
As  0.028  0.028  0.945

***

## Er3IrRh (PBE-GGA)

Data for a geometry-optimized Er3IrRh structure.

Values from the calculation:
As for the polymorph energy (0 for the lowest one): 0.045 eV per atom. The calculation puts the energy of formation from the pure elements at -69 kJ per mole of atoms. The density of states at the Fermi level comes out at 2.82 states/eV/f.u.

a = 6.791 Å, b = 6.791 Å, c = 7.426 Å
α = 62.79°, β = 62.79°, γ = 60.00°
Element x y z (fractional)
Ir  0.172  0.172  0.485
Ir  0.828  0.828  0.515
Er  0.903  0.249  0.252
Er  0.751  0.404  0.748
Er  0.097  0.751  0.748
Er  0.404  0.097  0.748
Er  0.596  0.903  0.252
Er  0.249  0.596  0.252
Rh  0.672  0.672  0.985
Rh  0.328  0.328  0.015

***

Quick rundown of total magnetic moment, same order as above: 0.0007; 1.7983; 0.0000; 0.0000; 0.7053; 0.0000; 0.0000; 0.0000; 0.0000; 0.1998; 0.0000; 0.0025; 0.3785; 0.0000; 0.2343; 0.0000; 0.0000; 0.4195; 0.0000; 0.0000 μB per atom